1.
Density functional theory data (PBE-GGA) for Na2PmCr2N4 after structural relaxation.

Calculated values
Raw formation energy in eV per atom: -0.59

a b c (Å): 3.390 7.049 8.695
angles (deg): 136.92 90.00 103.91
Last column: magnetic moment on the atom in μB.
Positions (direct):
N 0.234 0.467 0.120  -0.01
N 0.528 0.055 0.236  -0.01
N 0.472 0.945 0.764  -0.01
N 0.766 0.533 0.880  -0.01
Na 0.139 0.278 0.536  0.00
Na 0.861 0.722 0.464  0.00
Pm 0.000 0.000 0.000  0.02
Cr 0.337 0.675 0.049  0.35
Cr 0.663 0.325 0.951  0.35

=====

2.
Density functional theory data (PBE-GGA) for Na2PrCr2N4 after structural relaxation.

Calculated values
Raw formation energy in eV per atom: -0.55

a b c (Å): 3.395 7.165 8.692
angles (deg): 136.75 90.00 103.71
Last column: magnetic moment on the atom in μB.
Positions (direct):
Pr 0.000 0.000 0.000  0.02
Cr 0.336 0.673 0.050  0.35
Cr 0.664 0.327 0.950  0.35
N 0.233 0.466 0.118  -0.01
N 0.478 0.955 0.761  -0.01
N 0.522 0.045 0.239  -0.01
N 0.767 0.534 0.882  -0.01
Na 0.134 0.269 0.538  0.00
Na 0.866 0.731 0.462  0.00

=====

3.
Density functional theory data (PBE-GGA) for Na3Pu3CrN8 after structural relaxation.

Calculated values
Raw formation energy in eV per atom: -0.56

a b c (Å): 6.631 6.631 6.823
angles (deg): 119.08 90.00 120.00
Last column: magnetic moment on the atom in μB.
Positions (direct):
N 0.730 0.461 0.691  -0.20
N 0.781 0.562 0.327  -0.24
N 0.219 0.438 0.673  -0.24
N 0.219 0.954 0.673  -0.24
N 0.265 0.046 0.327  -0.24
N 0.270 0.539 0.309  -0.20
N 0.735 0.954 0.673  -0.24
N 0.781 0.046 0.327  -0.24
Na 0.000 0.000 0.000  0.00
Na 0.000 0.500 0.000  0.00
Na 0.500 0.500 0.000  0.00
Pu 0.500 0.000 0.500  3.03
Pu 0.500 0.500 0.500  3.03
Pu 0.000 0.500 0.500  3.03
Cr 0.000 0.000 0.500  2.06

=====

4.
Density functional theory data (PBE-GGA) for NaPuCrN4 after structural relaxation.

Calculated values
Raw formation energy in eV per atom: -0.45

a b c (Å): 5.703 5.476 6.909
angles (deg): 90.00 104.65 90.00
Last column: magnetic moment on the atom in μB.
Positions (direct):
Na 0.668 0.750 0.912  0.00
Na 0.332 0.250 0.088  0.00
Cr 0.241 0.750 0.320  0.29
Cr 0.759 0.250 0.680  0.29
N 0.044 0.505 0.310  -0.19
N 0.956 0.495 0.690  -0.19
N 0.563 0.250 0.446  -0.19
N 0.466 0.750 0.187  -0.19
N 0.534 0.250 0.813  -0.19
N 0.437 0.750 0.554  -0.19
N 0.956 0.005 0.690  -0.19
N 0.044 0.995 0.310  -0.19
Pu 0.225 0.250 0.557  3.64
Pu 0.775 0.750 0.443  3.64

=====

5.
Density functional theory data (PBE-GGA) for NaPuCrN3 after structural relaxation.

Calculated values
Raw formation energy in eV per atom: -0.61

a b c (Å): 3.686 6.660 6.646
angles (deg): 103.14 90.00 106.06
Last column: magnetic moment on the atom in μB.
Positions (direct):
N 0.144 0.288 0.792  -0.21
N 0.510 0.020 0.282  -0.20
N 0.829 0.658 0.623  -0.26
N 0.856 0.712 0.208  -0.21
N 0.490 0.980 0.718  -0.20
N 0.171 0.342 0.377  -0.26
Cr 0.000 0.000 0.235  1.52
Cr 0.000 0.000 0.765  1.52
Na 0.343 0.685 0.922  0.00
Na 0.657 0.315 0.078  0.00
Pu 0.648 0.296 0.576  3.97
Pu 0.352 0.704 0.424  3.97

=====

6.
Density functional theory data (PBE-GGA) for Na2CrReN4 after structural relaxation.

Calculated values
Raw formation energy in eV per atom: -0.29

a b c (Å): 5.819 6.046 6.435
angles (deg): 90.00 90.00 90.00
Positions (direct):
N 0.255 0.995 0.000
N 0.999 0.334 0.254
N 0.745 0.994 0.000
N 0.499 0.665 0.246
N 0.245 0.006 0.500
N 0.999 0.334 0.746
N 0.755 0.005 0.500
N 0.499 0.665 0.754
Na 0.500 0.272 0.250
Na 0.500 0.272 0.750
Na 0.000 0.728 0.750
Na 0.000 0.728 0.250
Cr 0.500 0.819 0.000
Cr 0.000 0.181 0.500
Re 0.500 0.822 0.500
Re 0.000 0.178 0.000

=====

7.
Density functional theory data (PBE-GGA) for NaCrSe2N after structural relaxation.

Calculated values
Distance to the lowest polymorph of the same formula in meV/atom: 0
Raw formation energy in eV per atom: -0.17

a b c (Å): 5.097 5.097 3.556
angles (deg): 90.00 90.00 90.00
Last column: magnetic moment on the atom in μB.
Positions (direct):
Na 0.500 0.500 0.500  0.00
Se 0.500 0.000 0.000  -0.15
Se 0.000 0.500 0.000  -0.15
Cr 0.000 0.000 0.000  1.41
N 0.000 0.000 0.500  -0.30

=====

8.
Density functional theory data (PBE-GGA) for NaCrSe2N after structural relaxation.

Calculated values
Distance to the lowest polymorph of the same formula in meV/atom: 1490
Raw formation energy in eV per atom: 1.32

a b c (Å): 5.202 5.202 4.198
angles (deg): 90.00 90.00 90.00
Last column: magnetic moment on the atom in μB.
Positions (direct):
N 0.000 0.000 0.500  1.68
Na 0.000 0.000 0.000  0.02
Cr 0.500 0.500 0.500  3.97
Se 0.000 0.500 0.000  -0.18
Se 0.500 0.000 0.000  -0.18